Below is crystalline RbReNi at its relaxed geometry, with properties calculated at the PBE level.

a b c (Å): 4.7011 4.7011 4.7011
angles (deg): 60.00 60.00 60.00
Last column: magnetic moment on the atom in μB.
Fractional coordinates of all 3 atoms:
Rb: 0.2500 0.2500 0.2500  0.03
Ni: 0.5000 0.5000 0.5000  0.77
Re: 0.7500 0.7500 0.7500  2.80

Polymorph energy (0 for the lowest one): 1.653 eV per atom
DFT formation energy: 2.19 eV per atom
Spin magnetization: 4.02 μB per formula unit

***

Below is crystalline Y2MgGe3Pt4 at its relaxed geometry, with properties calculated at the PBE level.

a b c (Å): 4.1693 4.1693 10.9301
angles (deg): 90.00 90.00 90.00
Fractional coordinates of all 10 atoms:
Ge: 0.0000 0.5000 0.1335
Y: 0.0000 0.5000 0.7590
Ge: 0.0000 0.0000 0.5000
Pt: 0.5000 0.5000 0.0000
Ge: 0.5000 0.0000 0.8665
Y: 0.5000 0.0000 0.2410
Pt: 0.0000 0.0000 0.0000
Pt: 0.0000 0.5000 0.3543
Pt: 0.5000 0.0000 0.6457
Mg: 0.5000 0.5000 0.5000

DFT formation energy: -0.92 eV per atom
Spin magnetization: 0.00 μB per formula unit

***

Below is crystalline CaY2Sb at its relaxed geometry, with properties calculated at the PBE level.

a b c (Å): 4.1026 4.1026 10.1342
angles (deg): 78.32 78.32 60.00
Last column: magnetic moment on the atom in μB.
Fractional coordinates of all 4 atoms:
Y: 0.2701 0.2701 0.1897  0.07
Y: 0.0628 0.0628 0.8115  0.11
Sb: 0.6662 0.6662 0.0013  0.00
Ca: 0.5008 0.5008 0.4976  0.07

Polymorph energy (0 for the lowest one): 0.079 eV per atom
Spin magnetization: 0.78 μB per formula unit
Energy relative to the elements, uncorrected: -0.38 eV/atom

***

Below is crystalline FeHgAs at its relaxed geometry, with properties calculated at the PBE level.

a b c (Å): 6.5941 6.5937 2.9260
angles (deg): 77.19 77.20 25.64
Last column: magnetic moment on the atom in μB.
Fractional coordinates of all 3 atoms:
Fe: 0.3515 0.3513 0.6485  0.53
As: 0.9543 0.9545 0.0457  -0.04
Hg: 0.6941 0.6943 0.3059  -0.01

Polymorph energy (0 for the lowest one): 0.030 eV per atom
DFT formation energy: 0.24 eV per atom
Spin magnetization: 0.45 μB per formula unit

***

Below is crystalline PmSmDy6 at its relaxed geometry, with properties calculated at the PBE level.

a b c (Å): 6.0769 6.0769 9.3749
angles (deg): 87.11 117.19 111.90
Fractional coordinates of all 8 atoms:
Sm: 0.0000 0.0000 0.0000
Pm: 0.5000 0.0000 0.5000
Dy: 0.6370 0.5426 0.7002
Dy: 0.1577 0.0632 0.7002
Dy: 0.7017 0.3731 0.0748
Dy: 0.3630 0.4574 0.2998
Dy: 0.8423 0.9368 0.2998
Dy: 0.2983 0.6269 0.9252

Polymorph energy (0 for the lowest one): 0.347 eV per atom
DFT formation energy: 0.37 eV per atom
Spin magnetization: 0.00 μB per formula unit

***

Below is crystalline Zr2TaP at its relaxed geometry, with properties calculated at the PBE level.

a b c (Å): 4.5429 4.5429 3.5996
angles (deg): 90.00 90.00 90.05
Fractional coordinates of all 4 atoms:
P: 0.0000 0.0000 0.5000
Ta: 0.5000 0.5000 0.5000
Zr: 0.0000 0.5000 0.0000
Zr: 0.5000 0.0000 0.0000

DFT formation energy: -0.36 eV per atom
Spin magnetization: 0.00 μB per formula unit

***

Below is crystalline PtC2F at its relaxed geometry, with properties calculated at the PBE level.

a b c (Å): 3.7882 3.7882 3.7882
angles (deg): 60.00 60.00 60.00
Fractional coordinates of all 4 atoms:
C: 0.7500 0.7500 0.7500
C: 0.2500 0.2500 0.2500
Pt: 0.5000 0.5000 0.5000
F: 0.0000 0.0000 0.0000

Polymorph energy (0 for the lowest one): 0.541 eV per atom
Spin magnetization: 0.00 μB per formula unit
Energy relative to the elements, uncorrected: 1.92 eV/atom

***

Below is crystalline ZrCo2Se at its relaxed geometry, with properties calculated at the PBE level.

a b c (Å): 4.9780 4.9780 4.9780
angles (deg): 136.25 136.25 63.60
Fractional coordinates of all 4 atoms:
Co: 0.2500 0.7500 0.5000
Se: 0.5000 0.5000 0.0000
Zr: 0.7500 0.2500 0.5000
Co: 0.0000 0.0000 0.0000

Spin magnetization: 0.00 μB per formula unit
Energy relative to the elements, uncorrected: -0.12 eV/atom

***

Below is crystalline SmCuSn at its relaxed geometry, with properties calculated at the PBE level.

a b c (Å): 4.1094 4.1094 5.2485
angles (deg): 113.05 113.05 90.00
Fractional coordinates of all 3 atoms:
Sn: 0.2721 0.2721 0.5442
Sm: 0.6184 0.6184 0.2369
Cu: 0.9594 0.9594 0.9189

DFT formation energy: -0.11 eV per atom
Spin magnetization: 0.00 μB per formula unit

***

Below is crystalline Pm2ThTl4 at its relaxed geometry, with properties calculated at the PBE level.

a b c (Å): 5.2790 5.2790 7.9438
angles (deg): 90.00 90.00 90.00
Fractional coordinates of all 7 atoms:
Tl: 0.5000 0.0000 0.2700
Tl: 0.0000 0.5000 0.7300
Pm: 0.5000 0.5000 0.5000
Tl: 0.0000 0.5000 0.2700
Tl: 0.5000 0.0000 0.7300
Th: 0.5000 0.5000 0.0000
Pm: 0.0000 0.0000 0.0000

DFT formation energy: -0.15 eV per atom
Spin magnetization: 0.00 μB per formula unit

***

Below is crystalline Cs2MgZnSb2 at its relaxed geometry, with properties calculated at the PBE level.

a b c (Å): 6.8905 6.9231 10.3330
angles (deg): 109.57 109.48 90.00
Fractional coordinates of all 12 atoms:
Sb: 0.6521 0.4140 0.8280
Cs: 0.4220 0.1716 0.3432
Sb: 0.3479 0.5860 0.1720
Cs: 0.5780 0.8284 0.6568
Zn: 0.5000 0.2500 0.0000
Cs: 0.0788 0.3284 0.6568
Sb: 0.1759 0.9140 0.8280
Mg: 0.0000 0.2500 0.0000
Zn: 0.5000 0.7500 0.0000
Mg: 0.0000 0.7500 0.0000
Sb: 0.8241 0.0860 0.1720
Cs: 0.9212 0.6716 0.3432

Spin magnetization: 0.00 μB per formula unit
Energy relative to the elements, uncorrected: -0.46 eV/atom

***

Below is crystalline MgZr2Cl at its relaxed geometry, with properties calculated at the PBE level.

a b c (Å): 3.1436 3.1436 9.9649
angles (deg): 90.00 90.00 118.72
Fractional coordinates of all 4 atoms:
Cl: 0.5000 0.5000 0.2500
Zr: 0.0000 0.0000 0.0228
Mg: 0.5000 0.5000 0.7500
Zr: 0.0000 0.0000 0.4772

Polymorph energy (0 for the lowest one): 0.245 eV per atom
Spin magnetization: 0.00 μB per formula unit
Energy relative to the elements, uncorrected: -0.24 eV/atom